A plane-wave DFT calculation with PBE was carried out for a relaxed structure of Li2Cd3Se4O12.

```
data_Li2Cd3Se4O12
_cell_length_a 7.600
_cell_length_b 8.547
_cell_length_c 10.712
_cell_angle_alpha 103.34
_cell_angle_beta 92.30
_cell_angle_gamma 115.59
_symmetry_space_group_name_H-M 'P -1'
_symmetry_Int_Tables_number 2
_symmetry_space_group_name_Hall '-P 1'
loop_
_atom_site_label
_atom_site_type_symbol
_atom_site_fract_x
_atom_site_fract_y
_atom_site_fract_z
Li1 Li 0.098 0.454 0.085
Li2 Li 0.196 0.440 0.571
Cd1 Cd 0.000 0.000 0.000
Cd2 Cd 0.000 0.000 0.500
Cd3 Cd 0.323 0.387 0.839
Cd4 Cd 0.350 0.282 0.295
Se1 Se 0.074 0.732 0.708
Se2 Se 0.142 0.809 0.231
Se3 Se 0.466 0.753 0.430
Se4 Se 0.476 0.793 0.021
O1 O 0.004 0.367 0.901
O2 O 0.010 0.510 0.661
O3 O 0.053 0.194 0.689
O4 O 0.066 0.264 0.164
O5 O 0.086 0.248 0.405
O6 O 0.204 0.988 0.164
O7 O 0.281 0.147 0.922
O8 O 0.320 0.052 0.507
O9 O 0.378 0.604 0.079
O10 O 0.398 0.685 0.567
O11 O 0.435 0.686 0.857
O12 O 0.445 0.402 0.643
```

Calculated values
Final energy: -4.966 eV/atom
Calculated volume: 14.35 A^3/atom